Record 1
Here is crystalline NbNi3Pd at its relaxed geometry from Alexandria via LeMat-Bulk. Energies are from PBEsol.

a = 4.3789 Å, b = 4.3789 Å, c = 4.3789 Å
α = 90.00°, β = 90.00°, γ = 90.00°
With the nearest neighbours (Å) after each atom.
Space group Pm-3m (No. 221)
Asymmetric unit:
Nb  0.0000  0.0000  0.0000 [1 per cell]  6 Ni 2.19
Ni  0.0000  0.0000  0.5000 [3 per cell]  2 Nb 2.19
Pd  0.5000  0.5000  0.5000 [1 per cell]  12 Ni 3.10

## Properties
ΔE_f = 664 kJ/mol of formula units

---

Record 2
Here is crystalline LiNdIn2 at its relaxed geometry from Alexandria via LeMat-Bulk. Energies are from PBEsol.

a = 7.2771 Å, b = 7.2771 Å, c = 7.2771 Å
α = 90.00°, β = 90.00°, γ = 90.00°
With the nearest neighbours (Å) after each atom.
Space group Fm-3m (No. 225)
Asymmetric unit:
Li  0.0000  0.0000  0.0000 [4 per cell]  8 In 3.15
Nd  0.0000  0.0000  0.5000 [4 per cell]  8 In 3.15
In  0.2500  0.2500  0.2500 [8 per cell]  4 Li 3.15, 4 Nd 3.15

## Properties
ΔE_f = -168 kJ/mol of formula units

---

Record 3
Here is crystalline SnPdO3 at its relaxed geometry from Alexandria via LeMat-Bulk. Energies are from PBEsol.

a = 3.9409 Å, b = 3.9409 Å, c = 3.9409 Å
α = 90.00°, β = 90.00°, γ = 90.00°
With the nearest neighbours (Å) after each atom.
Space group Pm-3m (No. 221)
Asymmetric unit:
Sn  0.0000  0.0000  0.0000 [1 per cell]  12 O 2.79
Pd  0.5000  0.5000  0.5000 [1 per cell]  6 O 1.97
O  0.0000  0.5000  0.5000 [3 per cell]  2 Pd 1.97

## Properties
Energy relative to the elements, uncorrected = -0.47 eV/atom

---

Record 4
Here is crystalline NaTiTe2N at its relaxed geometry from Alexandria via LeMat-Bulk. Energies are from PBEsol.

a = 5.6453 Å, b = 5.6453 Å, c = 3.6952 Å
α = 90.00°, β = 90.00°, γ = 90.00°
With the nearest neighbours (Å) after each atom.
Space group P4/mmm (No. 123)
Asymmetric unit:
Na  0.0000  0.0000  0.0000 [1 per cell]  8 Te 3.37, 2 Na 3.70
Ti  0.5000  0.5000  0.5000 [1 per cell]  2 N 1.85
Te  0.0000  0.5000  0.5000 [2 per cell]  2 Ti 2.82
N  0.5000  0.5000  0.0000 [1 per cell]  2 Ti 1.85

## Properties
Energy relative to the elements, uncorrected = -0.36 eV/atom

---

Record 5
Here is crystalline InCoAg2 at its relaxed geometry from Alexandria via LeMat-Bulk. Energies are from PBEsol.

a = 3.9038 Å, b = 3.9038 Å, c = 8.3374 Å
α = 90.00°, β = 90.00°, γ = 90.00°
With the nearest neighbours (Å) after each atom.
Space group I4/mmm (No. 139)
Asymmetric unit:
In  0.0000  0.0000  0.0000 [2 per cell]  4 Co 2.76, 8 Ag 2.86
Co  0.0000  0.0000  0.5000 [2 per cell]  4 In 2.76, 8 Ag 2.86
Ag  0.0000  0.5000  0.2500 [4 per cell]  4 Ag 2.76, 4 In 2.86, 4 Co 2.86

## Properties
ΔE_f = 88 kJ/mol of formula units

---

Record 6
Here is crystalline LaOsBr2 at its relaxed geometry from Alexandria via LeMat-Bulk. Energies are from PBEsol.

a = 4.5568 Å, b = 5.5060 Å, c = 7.9749 Å
α = 90.00°, β = 90.00°, γ = 90.00°
With the nearest neighbours (Å) after each atom.
Space group Cmm2 (No. 35)
Asymmetric unit:
La  0.0000  0.0000  0.0000 [2 per cell]  3 Br 2.93-3.04, 2 Os 3.01
Os  0.0000  0.5000  0.7530 [2 per cell]  2 Br 2.47
Br  0.0000  0.0000  0.6326 [2 per cell]  2 Os 2.47
Br  0.0000  0.5000  0.2532 [2 per cell]  2 La 3.04

## Properties
Energy relative to the elements, uncorrected = -0.13 eV/atom

---

Record 7
Here is crystalline La4C2Cl5 at its relaxed geometry from Alexandria via LeMat-Bulk. Energies are from PBEsol.

a = 3.9021 Å, b = 7.8619 Å, c = 17.1918 Å
α = 90.00°, β = 90.00°, γ = 90.00°
With the nearest neighbours (Å) after each atom.
Space group Immm (No. 71)
Asymmetric unit:
La  0.0000  0.0000  0.1745 [4 per cell]  1 C 2.29
La  0.0000  0.2862  0.5000 [4 per cell]  4 C 2.67, 4 Cl 2.92-2.98
C  0.0000  0.0000  0.0414 [4 per cell]  1 C 1.42
Cl  0.0000  0.2262  0.3322 [8 per cell]  4 La 2.91-3.24
Cl  0.0000  0.5000  0.0000 [2 per cell]  4 La 2.98

## Properties
Energy relative to the elements, uncorrected = -1.71 eV/atom

---

Record 8
Here is crystalline CeAl3 at its relaxed geometry from Alexandria via LeMat-Bulk. Energies are from PBEsol.

a = 6.3264 Å, b = 6.3264 Å, c = 4.5882 Å
α = 90.00°, β = 90.00°, γ = 120.00°
With the nearest neighbours (Å) after each atom.
Space group P6_3/mmc (No. 194)
Asymmetric unit:
Ce  0.3333  0.6667  0.2500 [2 per cell]  12 Al 3.07-3.17
Al  0.1471  0.2942  0.7500 [6 per cell]  6 Al 2.79-2.80, 2 Ce 3.07

## Properties
ΔE_f = -147 kJ/mol of formula units

---

Record 9
Here is crystalline LaTlSeBr2 at its relaxed geometry from Alexandria via LeMat-Bulk. Energies are from PBEsol.

a = 5.7855 Å, b = 5.7855 Å, c = 5.6899 Å
α = 90.00°, β = 90.00°, γ = 90.00°
With the nearest neighbours (Å) after each atom.
Space group P4/mmm (No. 123)
Asymmetric unit:
La  0.0000  0.0000  0.0000 [1 per cell]  2 Se 2.84, 4 Br 2.89
Tl  0.5000  0.5000  0.5000 [1 per cell]  8 Br 4.06, 4 Se 4.09
Se  0.0000  0.0000  0.5000 [1 per cell]  2 La 2.84
Br  0.0000  0.5000  0.0000 [2 per cell]  2 La 2.89

## Properties
Energy relative to the elements, uncorrected = -1.28 eV/atom

---

Record 10
Here is crystalline Ta3IrPd at its relaxed geometry from Alexandria via LeMat-Bulk. Energies are from PBEsol.

a = 4.6759 Å, b = 4.6759 Å, c = 4.6759 Å
α = 90.00°, β = 90.00°, γ = 90.00°
With the nearest neighbours (Å) after each atom.
Space group Pm-3m (No. 221)
Asymmetric unit:
Ta  0.0000  0.0000  0.5000 [3 per cell]  2 Pd 2.34
Ir  0.5000  0.5000  0.5000 [1 per cell]  12 Ta 3.31
Pd  0.0000  0.0000  0.0000 [1 per cell]  6 Ta 2.34

## Properties
ΔE_f = 777 kJ/mol of formula units

---

Record 11
Here is crystalline Eu2Si5Pt3 at its relaxed geometry from Alexandria via LeMat-Bulk. Energies are from PBEsol.

a = 9.9793 Å, b = 11.5308 Å, c = 5.9719 Å
α = 90.00°, β = 90.00°, γ = 90.00°
With the nearest neighbours (Å) after each atom.
Space group Ibam (No. 72)
Asymmetric unit:
Eu  0.2319  0.1299  0.0000 [8 per cell]  10 Si 3.01-3.27, 4 Pt 3.11-3.29
Si  0.0000  0.0000  0.2500 [4 per cell]  4 Pt 2.44
Si  0.0000  0.2716  0.2500 [8 per cell]  3 Pt 2.43-2.63, 2 Si 2.52
Si  0.1512  0.3896  0.0000 [8 per cell]  3 Pt 2.38-2.48, 2 Si 2.52
Pt  0.0000  0.5000  0.2500 [4 per cell]  6 Si 2.48-2.63
Pt  0.1121  0.1364  0.5000 [8 per cell]  5 Si 2.38-2.44

## Properties
Energy relative to the elements, uncorrected = -0.98 eV/atom

---

Record 12
Here is crystalline ZrAs2Br at its relaxed geometry from Alexandria via LeMat-Bulk. Energies are from PBEsol.

a = 3.7516 Å, b = 4.4085 Å, c = 11.0190 Å
α = 90.00°, β = 90.00°, γ = 90.00°
With the nearest neighbours (Å) after each atom.
Space group Cmmm (No. 65)
Asymmetric unit:
Zr  0.0000  0.0000  0.0000 [2 per cell]  8 As 2.82-3.05, 4 Zr 2.89
As  0.0000  0.5000  0.1909 [4 per cell]  4 Zr 2.82-3.05, 4 As 2.89
Br  0.0000  0.0000  0.5000 [2 per cell]  4 Br 2.89

## Properties
Energy relative to the elements, uncorrected = -0.27 eV/atom

---

Record 13
Here is crystalline Tc2MoPt at its relaxed geometry from Alexandria via LeMat-Bulk. Energies are from PBEsol.

a = 3.8681 Å, b = 3.8681 Å, c = 3.8453 Å
α = 90.00°, β = 90.00°, γ = 90.00°
With the nearest neighbours (Å) after each atom.
Space group P4/mmm (No. 123)
Asymmetric unit:
Tc  0.0000  0.5000  0.0000 [2 per cell]  4 Pt 2.73, 4 Mo 2.73, 4 Tc 2.74
Mo  0.0000  0.0000  0.5000 [1 per cell]  8 Tc 2.73, 4 Pt 2.74
Pt  0.5000  0.5000  0.5000 [1 per cell]  8 Tc 2.73, 4 Mo 2.74

## Properties
ΔE_f = -68 kJ/mol of formula units

---

Number 1: D(E_F) 0.6646 states/eV per atom. Number 2: D(E_F) 0.2956 states/eV per atom. Number 3: D(E_F) 0.5939 states/eV per atom. Number 4: D(E_F) 0.4474 states/eV per atom. Number 5: D(E_F) 1.4242 states/eV per atom. Number 6: D(E_F) 0.6976 states/eV per atom. Number 7: D(E_F) 0.2033 states/eV per atom. Number 8: D(E_F) 1.0820 states/eV per atom. Number 9: D(E_F) 0.0000 states/eV per atom. Number 10: D(E_F) 1.0629 states/eV per atom. Number 11: D(E_F) 1.9828 states/eV per atom. Number 12: D(E_F) 0.5574 states/eV per atom. Number 13: D(E_F) 0.7807 states/eV per atom.